Record 1
Density functional theory data (PBEsol) for an optimized crystal structure of YZn2Cd.

Cell lengths 3.941, 4.484, 4.484 Å; angles 90.00, 90.00, 90.00 degrees
Atoms (fractional coordinates):
1 Zn 0.000 0.500 0.000
2 Cd 0.500 0.500 0.500
3 Y 0.500 0.000 0.000
4 Zn 0.000 0.000 0.500

Summary:
electronic total energy = -12.06 eV/cell


Record 2
Density functional theory data (PBEsol) for an optimized crystal structure of YZn2Cd.

Cell lengths 3.276, 3.276, 7.173 Å; angles 90.00, 90.00, 90.00 degrees
Atoms (fractional coordinates):
1 Y 0.500 0.500 0.500
2 Zn 0.000 0.000 0.771
3 Zn 0.000 0.000 0.229
4 Cd 0.500 0.500 0.000

Summary:
electronic total energy = -11.88 eV/cell


Record 3
Density functional theory data (PBEsol) for an optimized crystal structure of YZnCd2.

Cell lengths 3.200, 4.477, 6.091 Å; angles 90.00, 105.23, 90.00 degrees
Atoms (fractional coordinates):
1 Cd 0.189 0.000 0.379
2 Cd 0.581 0.500 0.163
3 Zn 0.321 0.500 0.641
4 Y 0.924 0.000 0.848

Summary:
electronic total energy = -11.64 eV/cell


Record 4
Density functional theory data (PBEsol) for an optimized crystal structure of Y2ZnCd.

Cell lengths 5.105, 5.105, 5.105 Å; angles 60.00, 60.00, 60.00 degrees
Atoms (fractional coordinates):
1 Y 0.250 0.250 0.250
2 Y 0.750 0.750 0.750
3 Cd 0.000 0.000 0.000
4 Zn 0.500 0.500 0.500

Summary:
offset from the most stable computed form = 0 meV/atom
electronic total energy = -17.83 eV/cell


Record 5
Density functional theory data (PBEsol) for an optimized crystal structure of Y2ZnCd.

Cell lengths 3.604, 5.031, 6.149 Å; angles 113.63, 90.00, 90.00 degrees
Atoms (fractional coordinates):
1 Y 0.000 0.000 0.000
2 Y 0.500 0.000 0.500
3 Zn 0.500 0.500 0.000
4 Cd 0.000 0.500 0.500

Summary:
offset from the most stable computed form = 229 meV/atom
electronic total energy = -16.91 eV/cell


Record 6
Density functional theory data (PBEsol) for an optimized crystal structure of Y2ZnCd.

Cell lengths 3.610, 5.103, 5.103 Å; angles 90.00, 90.00, 90.00 degrees
Atoms (fractional coordinates):
1 Cd 0.500 0.500 0.126
2 Y 0.000 0.000 0.125
3 Y 0.000 0.500 0.625
4 Zn 0.500 0.000 0.624

Summary:
offset from the most stable computed form = 0 meV/atom
electronic total energy = -17.82 eV/cell


Record 7
Density functional theory data (PBEsol) for an optimized crystal structure of Y2ZnCd.

Cell lengths 3.528, 5.015, 6.091 Å; angles 114.31, 106.84, 90.00 degrees
Atoms (fractional coordinates):
1 Y 0.773 0.273 0.545
2 Cd 0.216 0.716 0.432
3 Y 0.993 0.993 0.985
4 Zn 0.519 0.519 0.038

Summary:
offset from the most stable computed form = 94 meV/atom
electronic total energy = -17.45 eV/cell


Record 8
Density functional theory data (PBEsol) for an optimized crystal structure of YZn2Cd.

Cell lengths 4.745, 4.745, 4.749 Å; angles 60.03, 60.03, 60.00 degrees
Atoms (fractional coordinates):
1 Zn 0.001 0.001 0.998
2 Cd 0.501 0.501 0.496
3 Zn 0.251 0.251 0.246
4 Y 0.751 0.751 0.747

Summary:
electronic total energy = -12.17 eV/cell


Record 9
Density functional theory data (PBEsol) for an optimized crystal structure of YZnCd2.

Cell lengths 4.868, 4.856, 4.867 Å; angles 120.07, 90.00, 120.08 degrees
Atoms (fractional coordinates):
1 Cd 0.000 0.000 0.500
2 Zn 0.250 0.500 0.250
3 Cd 0.750 0.500 0.750
4 Y 0.500 0.000 0.000

Summary:
electronic total energy = -12.03 eV/cell


Record 10
Density functional theory data (PBEsol) for an optimized crystal structure of YZnCd2.

Cell lengths 4.293, 4.293, 4.630 Å; angles 90.00, 90.00, 90.00 degrees
Atoms (fractional coordinates):
1 Y 0.500 0.500 0.500
2 Cd 0.000 0.500 0.000
3 Cd 0.500 0.000 0.000
4 Zn 0.000 0.000 0.500

Summary:
electronic total energy = -11.75 eV/cell


Record 11
Density functional theory data (PBEsol) for an optimized crystal structure of Y2ZrCd.

Cell lengths 3.401, 5.466, 6.182 Å; angles 112.15, 105.97, 90.00 degrees
Atoms (fractional coordinates):
1 Zr 0.527 0.468 0.054
2 Y 0.759 0.301 0.519
3 Y 0.975 0.927 0.951
4 Cd 0.238 0.804 0.476

Summary:
electronic total energy = -24.26 eV/cell


Record 12
Density functional theory data (PBEsol) for an optimized crystal structure of YZr2Cd.

Cell lengths 3.208, 3.208, 9.028 Å; angles 90.00, 90.00, 90.00 degrees
Atoms (fractional coordinates):
1 Zr 0.500 0.500 0.253
2 Y 0.500 0.500 0.743
3 Cd 0.000 0.000 0.488
4 Zr 0.000 0.000 0.016

Summary:
electronic total energy = -26.57 eV/cell


Record 13
Density functional theory data (PBEsol) for an optimized crystal structure of Y2ZrCd.

Cell lengths 3.389, 5.484, 5.484 Å; angles 99.40, 90.00, 90.00 degrees
Atoms (fractional coordinates):
1 Y 0.000 0.000 0.500
2 Y 0.000 0.500 0.000
3 Cd 0.500 0.500 0.500
4 Zr 0.500 0.000 0.000

Summary:
electronic total energy = -24.01 eV/cell


Record 14
Density functional theory data (PBEsol) for an optimized crystal structure of YZr2Cd.

Cell lengths 3.212, 5.484, 5.653 Å; angles 100.43, 90.00, 107.03 degrees
Atoms (fractional coordinates):
1 Y 0.240 0.480 0.723
2 Zr 0.011 0.022 0.051
3 Cd 0.491 0.982 0.510
4 Zr 0.758 0.516 0.217

Summary:
electronic total energy = -26.17 eV/cell


Record 15
Density functional theory data (PBEsol) for an optimized crystal structure of YZrCd2.

Cell lengths 3.246, 4.186, 6.634 Å; angles 90.00, 90.00, 90.00 degrees
Atoms (fractional coordinates):
1 Zr 0.500 0.500 0.500
2 Cd 0.000 0.000 0.732
3 Cd 0.000 0.000 0.268
4 Y 0.500 0.500 0.000

Summary:
electronic total energy = -19.13 eV/cell


Record 16
Density functional theory data (PBEsol) for an optimized crystal structure of YZrCd4.

Cell lengths 5.688, 5.688, 5.688 Å; angles 60.00, 60.00, 60.00 degrees
Atoms (fractional coordinates):
1 Cd 0.375 0.375 0.375
2 Cd 0.876 0.375 0.375
3 Zr 0.000 0.000 0.000
4 Cd 0.375 0.876 0.375
5 Y 0.750 0.750 0.750
6 Cd 0.375 0.375 0.876

Summary:
electronic total energy = -21.73 eV/cell


Record 17
Density functional theory data (PBEsol) for an optimized crystal structure of Y2ZrCd.

Cell lengths 3.399, 3.399, 8.776 Å; angles 90.00, 90.00, 90.00 degrees
Atoms (fractional coordinates):
1 Y 0.000 0.000 0.744
2 Zr 0.500 0.500 0.000
3 Y 0.000 0.000 0.256
4 Cd 0.500 0.500 0.500

Summary:
electronic total energy = -24.49 eV/cell


Record 18
Density functional theory data (PBEsol) for an optimized crystal structure of ZnCd2.

Cell lengths 3.085, 3.085, 6.860 Å; angles 90.00, 90.00, 120.00 degrees
Atoms (fractional coordinates):
1 Zn 0.000 0.000 0.000
2 Cd 0.667 0.333 0.319
3 Cd 0.333 0.667 0.681

Summary:
electronic total energy = -3.78 eV/cell


Record 19
Density functional theory data (PBEsol) for an optimized crystal structure of ZnCd8.

Cell lengths 4.311, 6.831, 6.831 Å; angles 84.28, 71.60, 71.60 degrees
Atoms (fractional coordinates):
1 Zn 0.000 0.000 0.000
2 Cd 0.000 0.671 0.329
3 Cd 0.000 0.329 0.671
4 Cd 0.663 0.000 0.674
5 Cd 0.329 0.671 0.671
6 Cd 0.671 0.329 0.329
7 Cd 0.663 0.674 0.000
8 Cd 0.337 0.000 0.326
9 Cd 0.337 0.326 0.000

Summary:
electronic total energy = -10.85 eV/cell


Record 20
Density functional theory data (PBEsol) for an optimized crystal structure of ZnCd2.

Cell lengths 3.005, 3.005, 12.881 Å; angles 96.70, 96.70, 90.00 degrees
Atoms (fractional coordinates):
1 Cd 0.425 0.425 0.850
2 Cd 0.675 0.175 0.350
3 Zn 0.000 0.000 0.000
4 Cd 0.825 0.325 0.650
5 Zn 0.250 0.750 0.500
6 Cd 0.575 0.575 0.150

Summary:
electronic total energy = -7.59 eV/cell


Number 1: energy of formation from the pure elements -0.2188 eV per atom. Number 2: energy of formation from the pure elements -0.1753 eV per atom. Number 3: energy of formation from the pure elements -0.2101 eV per atom. Number 4: energy of formation from the pure elements -0.3505 eV per atom. Number 5: energy of formation from the pure elements -0.1212 eV per atom. Number 6: energy of formation from the pure elements -0.3501 eV per atom. Number 7: energy of formation from the pure elements -0.2563 eV per atom. Number 8: energy of formation from the pure elements -0.2467 eV per atom. Number 9: energy of formation from the pure elements -0.3086 eV per atom. Number 10: energy of formation from the pure elements -0.2384 eV per atom. Number 11: energy of formation from the pure elements -0.0818 eV per atom. Number 12: energy of formation from the pure elements -0.0938 eV per atom. Number 13: energy of formation from the pure elements -0.0207 eV per atom. Number 14: energy of formation from the pure elements 0.0078 eV per atom. Number 15: energy of formation from the pure elements -0.2072 eV per atom. Number 16: energy of formation from the pure elements -0.1719 eV per atom. Number 17: energy of formation from the pure elements -0.1386 eV per atom. Number 18: energy of formation from the pure elements 0.0657 eV per atom. Number 19: energy of formation from the pure elements 0.0345 eV per atom. Number 20: energy of formation from the pure elements 0.0609 eV per atom.